# 1
Crystalline ZrCrSeCl2 at its relaxed geometry, computed with PBE.

Its crystal system is tetragonal. For the formation energy without anion corrections, the calculation gives -0.5 eV per formula unit. The value obtained for the density of states at the Fermi level is 4.3 states/eV/cell. The total magnetization is 3.48 μB per formula unit.

abc: 4.785 4.785 6.084
angles: 90.00 90.00 90.00
Space group P4/mmm (No. 123)
Symmetry-distinct sites (fractional):
Zr1 0.000 0.000 0.000 x1
Cr1 0.000 0.000 0.500 x1
Se1 0.500 0.500 0.500 x1
Cl1 0.000 0.500 0.000 x2

# 2
Crystalline CrSiCl2 at its relaxed geometry, computed with PBE.

Its crystal system is orthorhombic. For the formation energy without anion corrections, the calculation gives -0.3 eV per formula unit. The value obtained for the density of states at the Fermi level is 4.3 states/eV/cell. The total magnetization is 2.41 μB per formula unit.

abc: 3.005 6.244 9.187
angles: 90.00 90.00 90.00
Space group Cmm2 (No. 35)
Symmetry-distinct sites (fractional):
Cr1 0.000 0.000 0.000 x2
Si1 0.000 0.500 0.204 x2
Cl1 0.000 0.000 0.406 x2
Cl2 0.000 0.500 0.812 x2

# 3
Crystalline CrSi2Cl at its relaxed geometry, computed with PBE.

Its crystal system is monoclinic. For the formation energy without anion corrections, the calculation gives 0.0 eV per formula unit. The value obtained for the density of states at the Fermi level is 1.9 states/eV/cell. The total magnetization is 1.65 μB per formula unit.

abc: 3.331 2.842 8.058
angles: 90.00 101.42 90.00
Space group Pm (No. 6)
Symmetry-distinct sites (fractional):
Cr1 0.000 0.000 0.000 x1
Si1 0.426 0.500 0.845 x1
Si2 0.840 0.000 0.665 x1
Cl1 0.107 0.500 0.224 x1

# 4
Crystalline CrSiCl2 at its relaxed geometry, computed with PBE.

Its crystal system is orthorhombic. For the formation energy without anion corrections, the calculation gives 0.0 eV per formula unit. The value obtained for the density of states at the Fermi level is 2.3 states/eV/cell. The total magnetization is 4.00 μB per formula unit.

abc: 3.254 5.797 11.448
angles: 90.00 90.00 90.00
Space group Cmmm (No. 65)
Symmetry-distinct sites (fractional):
Cr1 0.000 0.000 0.000 x2
Si1 0.000 0.000 0.500 x2
Cl1 0.000 0.500 0.146 x4

# 5
Crystalline CrSi2Cl2 at its relaxed geometry, computed with PBE.

Its crystal system is tetragonal. For the formation energy without anion corrections, the calculation gives 0.4 eV per formula unit. The value obtained for the density of states at the Fermi level is 10.3 states/eV/cell. The total magnetization is 4.09 μB per formula unit.

abc: 3.331 3.331 21.797
angles: 90.00 90.00 90.00
Space group I4/mmm (No. 139)
Symmetry-distinct sites (fractional):
Cr1 0.000 0.000 0.000 x2
Si1 0.000 0.500 0.250 x4
Cl1 0.000 0.000 0.431 x4

# 6
Crystalline CrSi2Cl at its relaxed geometry, computed with PBE.

Its crystal system is orthorhombic. For the formation energy without anion corrections, the calculation gives 0.7 eV per formula unit. The value obtained for the density of states at the Fermi level is 4.9 states/eV/cell. The total magnetization is 2.38 μB per formula unit.

abc: 4.264 4.275 7.623
angles: 90.00 90.00 90.00
Space group Cmm2 (No. 35)
Symmetry-distinct sites (fractional):
Cr1 0.000 0.000 0.000 x2
Si1 0.000 0.000 0.368 x2
Si2 0.000 0.500 0.180 x2
Cl1 0.000 0.500 0.788 x2

# 7
Crystalline CrSiCl2 at its relaxed geometry, computed with PBE.

Its crystal system is trigonal. For the formation energy without anion corrections, the calculation gives 1.7 eV per formula unit. The value obtained for the density of states at the Fermi level is 10.8 states/eV/cell. The total magnetization is 0.00 μB per formula unit.

abc: 3.0187 3.0187 26.8063
angles: 90.00 90.00 120.00
Space group R-3m (No. 166, hexagonal axes)
Symmetry-distinct sites (fractional):
Cr1 0.0000 0.0000 0.0000 x3
Si1 0.0000 0.0000 0.5000 x3
Cl1 0.0000 0.0000 0.0806 x6

# 8
Crystalline CrSiCl2 at its relaxed geometry, computed with PBE.

Its crystal system is orthorhombic. For the formation energy without anion corrections, the calculation gives -1.3 eV per formula unit. The value obtained for the density of states at the Fermi level is 1.1 states/eV/cell. The total magnetization is 2.15 μB per formula unit.

abc: 3.394 3.441 8.099
angles: 90.00 90.00 90.00
Space group Pmm2 (No. 25)
Symmetry-distinct sites (fractional):
Cr1 0.000 0.000 0.000 x1
Si1 0.500 0.500 0.930 x1
Cl1 0.000 0.000 0.263 x1
Cl2 0.500 0.500 0.671 x1

# 9
Crystalline CrSiCl2 at its relaxed geometry, computed with PBE.

Its crystal system is monoclinic. For the formation energy without anion corrections, the calculation gives -0.7 eV per formula unit. The value obtained for the density of states at the Fermi level is 1.4 states/eV/cell. The total magnetization is 2.45 μB per formula unit.

abc: 4.693 3.690 5.258
angles: 90.00 108.34 90.00
Space group Pm (No. 6)
Symmetry-distinct sites (fractional):
Cr1 0.000 0.000 0.000 x1
Si1 0.080 0.500 0.295 x1
Cl1 0.479 0.000 0.943 x1
Cl2 0.841 0.500 0.594 x1

# 10
Crystalline CrSiCl at its relaxed geometry, computed with PBE.

Its crystal system is orthorhombic. For the formation energy without anion corrections, the calculation gives 0.8 eV per formula unit. The value obtained for the density of states at the Fermi level is 11.2 states/eV/cell. The total magnetization is 2.15 μB per formula unit.

abc: 2.921 5.206 14.995
angles: 90.00 90.00 90.00
Space group Fmm2 (No. 42)
Symmetry-distinct sites (fractional):
Cr1 0.000 0.000 0.000 x4
Si1 0.000 0.000 0.635 x4
Cl1 0.000 0.000 0.383 x4

# 11
Crystalline CrSiCl2 at its relaxed geometry, computed with PBE.

Its crystal system is trigonal. For the formation energy without anion corrections, the calculation gives 0.4 eV per formula unit. The value obtained for the density of states at the Fermi level is 11.2 states/eV/cell. The total magnetization is 0.00 μB per formula unit.

abc: 3.0202 3.0202 33.3576
angles: 90.00 90.00 120.00
Space group R-3m (No. 166, hexagonal axes)
Symmetry-distinct sites (fractional):
Cr1 0.0000 0.0000 0.0000 x3
Si1 0.0000 0.0000 0.5000 x3
Cl1 0.0000 0.0000 0.3800 x6

# 12
Crystalline CrSi4Cl at its relaxed geometry, computed with PBE.

Its crystal system is cubic. For the formation energy without anion corrections, the calculation gives 3.0 eV per formula unit. The value obtained for the density of states at the Fermi level is 15.7 states/eV/cell. The total magnetization is 3.77 μB per formula unit.

abc: 7.306 7.306 7.306
angles: 90.00 90.00 90.00
Space group F-43m (No. 216)
Symmetry-distinct sites (fractional):
Cr1 0.000 0.000 0.000 x4
Si1 0.124 0.124 0.624 x16
Cl1 0.250 0.250 0.250 x4

# 13
Crystalline CrSiCl at its relaxed geometry, computed with PBE.

Its crystal system is hexagonal. For the formation energy without anion corrections, the calculation gives 1.2 eV per formula unit. The value obtained for the density of states at the Fermi level is 2.1 states/eV/cell. The total magnetization is 2.51 μB per formula unit.

abc: 4.2318 4.2318 2.9666
angles: 90.00 90.00 120.00
Space group P-6m2 (No. 187)
Symmetry-distinct sites (fractional):
Cr1 0.0000 0.0000 0.0000 x1
Si1 0.6667 0.3333 0.5000 x1
Cl1 0.3333 0.6667 0.0000 x1

# 14
Crystalline CrSiCl2 at its relaxed geometry, computed with PBE.

Its crystal system is orthorhombic. For the formation energy without anion corrections, the calculation gives 0.3 eV per formula unit. The value obtained for the density of states at the Fermi level is 3.9 states/eV/cell. The total magnetization is 4.02 μB per formula unit.

abc: 6.039 7.323 7.343
angles: 90.00 90.00 90.00
Space group Fmmm (No. 69)
Symmetry-distinct sites (fractional):
Cr1 0.000 0.000 0.000 x4
Si1 0.000 0.000 0.500 x4
Cl1 0.000 0.250 0.250 x8

# 15
Crystalline CrSi2Cl at its relaxed geometry, computed with PBE.

Its crystal system is trigonal. For the formation energy without anion corrections, the calculation gives 0.5 eV per formula unit. The value obtained for the density of states at the Fermi level is 5.5 states/eV/cell. The total magnetization is 0.00 μB per formula unit.

abc: 2.9039 2.9039 26.9546
angles: 90.00 90.00 120.00
Space group R3m (No. 160, hexagonal axes)
Symmetry-distinct sites (fractional):
Cr1 0.0000 0.0000 0.0000 x3
Si1 0.0000 0.0000 0.2639 x3
Si2 0.0000 0.0000 0.5208 x3
Cl1 0.0000 0.0000 0.7234 x3